{"formula": "CrRuSeN2", "functional": "PBE-GGA", "state": "relaxed", "space_group": "P4/mmm", "crystal_system": "tetragonal", "de_polymorph_mev_per_atom": 146.7, "magmom_total_mub_per_fu": 1.586, "total_energy_ev_per_atom": -6.9424, "raw_formation_energy_ev_per_atom": 0.86, "lattice": [[3.6364, 0.0000, 0.0000], [0.0000, 3.6364, 0.0000], [0.0000, 0.0000, 5.2146]], "species": ["Ru", "N", "N", "Se", "Cr"], "fractional_positions": [[0.5000, 0.5000, 0.5000], [0.0000, 0.5000, 0.0000], [0.5000, 0.0000, 0.0000], [0.0000, 0.0000, 0.5000], [0.0000, 0.0000, 0.0000]]}


{"formula": "CrRuSeN2", "functional": "PBE-GGA", "state": "relaxed", "space_group": "P4/mmm", "crystal_system": "tetragonal", "de_polymorph_mev_per_atom": 0.0, "magmom_total_mub_per_fu": 3.856, "total_energy_ev_per_atom": -7.0891, "raw_formation_energy_ev_per_atom": 0.72, "lattice": [[3.7756, 0.0000, 0.0000], [0.0000, 3.7756, 0.0000], [0.0000, 0.0000, 5.4782]], "species": ["Ru", "N", "N", "Se", "Cr"], "fractional_positions": [[0.0000, 0.0000, 0.0000], [0.0000, 0.5000, 0.0000], [0.5000, 0.0000, 0.0000], [0.0000, 0.0000, 0.5000], [0.5000, 0.5000, 0.5000]]}


{"formula": "CrRuSe2N", "functional": "PBE-GGA", "state": "relaxed", "space_group": "P4/mmm", "crystal_system": "tetragonal", "de_polymorph_mev_per_atom": 139.8, "magmom_total_mub_per_fu": 0.128, "total_energy_ev_per_atom": -6.2498, "raw_formation_energy_ev_per_atom": 0.59, "lattice": [[4.8283, 0.0000, 0.0000], [0.0000, 4.8283, 0.0000], [0.0000, 0.0000, 3.4349]], "species": ["Ru", "N", "Se", "Se", "Cr"], "fractional_positions": [[0.5000, 0.5000, 0.5000], [0.0000, 0.0000, 0.5000], [0.0000, 0.5000, 0.0000], [0.5000, 0.0000, 0.0000], [0.0000, 0.0000, 0.0000]]}


{"formula": "CrRuSe2N", "functional": "PBE-GGA", "state": "relaxed", "space_group": "P4/mmm", "crystal_system": "tetragonal", "de_polymorph_mev_per_atom": 0.0, "magmom_total_mub_per_fu": 3.521, "total_energy_ev_per_atom": -6.3897, "raw_formation_energy_ev_per_atom": 0.45, "lattice": [[5.0719, 0.0000, 0.0000], [0.0000, 5.0719, 0.0000], [0.0000, 0.0000, 3.6334]], "species": ["Ru", "N", "Se", "Se", "Cr"], "fractional_positions": [[0.0000, 0.0000, 0.0000], [0.0000, 0.0000, 0.5000], [0.0000, 0.5000, 0.0000], [0.5000, 0.0000, 0.0000], [0.5000, 0.5000, 0.5000]]}


{"formula": "TaCr2RuN", "functional": "PBE-GGA", "state": "relaxed", "space_group": "P4/mmm", "crystal_system": "tetragonal", "de_polymorph_mev_per_atom": 136.7, "magmom_total_mub_per_fu": 0.903, "total_energy_ev_per_atom": -9.9256, "raw_formation_energy_ev_per_atom": -0.19, "lattice": [[-1.7108, -1.5979, -3.0914], [2.8644, -2.9127, -0.0797], [-2.1726, -2.2006, 2.3398]], "species": ["Ru", "N", "Cr", "Cr", "Ta"], "fractional_positions": [[0.0000, 0.5000, 0.0000], [0.0000, 0.0000, 0.0000], [0.0000, 0.0000, 0.5000], [0.5000, 0.0000, 0.0000], [0.5000, 0.5000, 0.5000]]}


{"formula": "TaCr2RuN", "functional": "PBE-GGA", "state": "relaxed", "space_group": "P4/mmm", "crystal_system": "tetragonal", "de_polymorph_mev_per_atom": 0.0, "magmom_total_mub_per_fu": 1.708, "total_energy_ev_per_atom": -10.0623, "raw_formation_energy_ev_per_atom": -0.32, "lattice": [[3.8390, 0.0000, 0.0000], [0.0000, 3.8390, 0.0000], [0.0000, 0.0000, 4.2274]], "species": ["Ru", "N", "Cr", "Cr", "Ta"], "fractional_positions": [[0.5000, 0.5000, 0.5000], [0.0000, 0.0000, 0.0000], [0.0000, 0.5000, 0.0000], [0.5000, 0.0000, 0.0000], [0.0000, 0.0000, 0.5000]]}


{"formula": "CrTe2RuN", "functional": "PBE-GGA", "state": "relaxed", "space_group": "P4/mmm", "crystal_system": "tetragonal", "de_polymorph_mev_per_atom": 0.0, "magmom_total_mub_per_fu": 1.773, "total_energy_ev_per_atom": -6.1381, "raw_formation_energy_ev_per_atom": 0.56, "lattice": [[-2.5129, 4.5454, 0.3039], [-4.1283, -2.4189, 2.0430], [1.2831, 0.4967, 3.1809]], "species": ["Ru", "N", "Te", "Te", "Cr"], "fractional_positions": [[0.5000, 0.5000, 0.5000], [0.0000, 0.0000, 0.5000], [0.0000, 0.5000, 0.0000], [0.5000, 0.0000, 0.0000], [0.0000, 0.0000, 0.0000]]}


{"formula": "CrTe2RuN", "functional": "PBE-GGA", "state": "relaxed", "space_group": "P4/mmm", "crystal_system": "tetragonal", "de_polymorph_mev_per_atom": 269.0, "magmom_total_mub_per_fu": 0.013, "total_energy_ev_per_atom": -5.8691, "raw_formation_energy_ev_per_atom": 0.83, "lattice": [[-2.7585, -0.2207, 4.6021], [3.2290, -3.9188, 1.7475], [2.2146, 2.4695, 1.4458]], "species": ["Ru", "N", "Te", "Te", "Cr"], "fractional_positions": [[0.0000, 0.0000, 0.0000], [0.0000, 0.0000, 0.5000], [0.0000, 0.5000, 0.0000], [0.5000, 0.0000, 0.0000], [0.5000, 0.5000, 0.5000]]}


{"formula": "ZnCr2RuN", "functional": "PBE-GGA", "state": "relaxed", "space_group": "P4/mmm", "crystal_system": "tetragonal", "magmom_total_mub_per_fu": 1.908, "total_energy_ev_per_atom": -7.7033, "raw_formation_energy_ev_per_atom": -0.08, "lattice": [[-1.3180, 1.2240, 3.3797], [-3.2407, -1.9619, -0.5532], [1.6442, -3.2262, 1.8096]], "species": ["Ru", "Zn", "N", "Cr", "Cr"], "fractional_positions": [[0.0000, 0.0000, 0.5000], [0.5000, 0.5000, 0.5000], [0.0000, 0.0000, 0.0000], [0.0000, 0.5000, 0.0000], [0.5000, 0.0000, 0.0000]]}


{"formula": "CrS3N", "functional": "PBE-GGA", "state": "relaxed", "space_group": "Pm-3m", "crystal_system": "cubic", "de_polymorph_mev_per_atom": 201.5, "magmom_total_mub_per_fu": 2.761, "total_energy_ev_per_atom": -4.8579, "raw_formation_energy_ev_per_atom": 1.21, "lattice": [[4.4601, 0.0000, 0.0000], [0.0000, 4.4601, 0.0000], [0.0000, 0.0000, 4.4601]], "species": ["Cr", "S", "S", "S", "N"], "fractional_positions": [[0.0000, 0.0000, 0.0000], [0.0000, 0.5000, 0.0000], [0.0000, 0.0000, 0.5000], [0.5000, 0.0000, 0.0000], [0.5000, 0.5000, 0.5000]]}


{"formula": "CrS3N", "functional": "PBE-GGA", "state": "relaxed", "space_group": "Pm-3m", "crystal_system": "cubic", "de_polymorph_mev_per_atom": 0.0, "magmom_total_mub_per_fu": 2.965, "total_energy_ev_per_atom": -5.0593, "raw_formation_energy_ev_per_atom": 1.01, "lattice": [[4.1042, 0.0000, 0.0000], [0.0000, 4.1042, 0.0000], [0.0000, 0.0000, 4.1042]], "species": ["Cr", "S", "S", "S", "N"], "fractional_positions": [[0.5000, 0.5000, 0.5000], [0.0000, 0.5000, 0.0000], [0.0000, 0.0000, 0.5000], [0.5000, 0.0000, 0.0000], [0.0000, 0.0000, 0.0000]]}


{"formula": "Cr2S2N", "functional": "PBE-GGA", "state": "relaxed", "space_group": "I4/mmm", "crystal_system": "tetragonal", "de_polymorph_mev_per_atom": 0.0, "magmom_total_mub_per_fu": 6.658, "total_energy_ev_per_atom": -6.5712, "raw_formation_energy_ev_per_atom": 0.59, "lattice": [[4.6341, 0.0000, 0.0000], [0.0000, 4.6341, 0.0000], [2.3170, 2.3170, 3.5210]], "species": ["Cr", "Cr", "S", "S", "N"], "fractional_positions": [[0.7500, 0.2500, 0.5000], [0.2500, 0.7500, 0.5000], [0.3107, 0.3107, 0.3786], [0.6893, 0.6893, 0.6214], [0.0000, 0.0000, 0.0000]]}